First-principles (PBE-GGA) data for a geometry-optimized W2N3 structure, as listed in the Alexandria database.

## Properties
Space group   No. 8
E_tot   -10.616 eV per atom
Volume   11.1 Å³/atom
D(E_F)   0.2 states/eV per cell
Size of the total moment   0.0 μB/f.u.

Cell lengths 5.0108, 5.0108, 5.3769 Å; angles 80.89, 80.89, 119.68 degrees
Last column: nearest neighbours and their distance in Å.
Fractional coordinates of all 10 atoms:
W  0.3307  0.9939  0.0085  6 N 2.10-2.13
W  0.6773  0.6773  0.9841  6 N 2.07-2.10
W  0.9939  0.3307  0.0085  6 N 2.10-2.13
W  0.4914  0.4914  0.5229  6 N 2.00-2.13
N  0.0924  0.0924  0.7502  4 W 2.00-2.12
N  0.4118  0.7464  0.7474  4 W 2.02-2.13
N  0.7464  0.4118  0.7474  4 W 2.02-2.13
N  0.2643  0.5805  0.2501  4 W 2.10-2.12
N  0.9039  0.9039  0.2526  4 W 2.10-2.13
N  0.5805  0.2643  0.2501  4 W 2.10-2.12



First-principles (PBE-GGA) data for a geometry-optimized Ac3Ag2Sn structure, as listed in the Alexandria database.

## Properties
Space group   No. 123
Energy of formation   -2.24 eV/f.u.
E_tot   -4.046 eV per atom
Offset from the most stable computed form   4 meV/atom
Volume   32.2 Å³/atom
D(E_F)   4.6 states/eV per cell
Size of the total moment   0.0 μB/f.u.

Cell lengths 3.9758, 3.9758, 12.2264 Å; angles 90.00, 90.00, 90.00 degrees
Last column: nearest neighbours and their distance in Å.
Fractional coordinates of all 6 atoms:
Ac  0.0000  0.0000  0.0000  8 Ag 3.41
Ac  0.0000  0.0000  0.6711  4 Sn 3.50, 4 Ag 3.50
Ac  0.0000  0.0000  0.3289  4 Sn 3.50, 4 Ag 3.50
Ag  0.5000  0.5000  0.8423  8 Ac 3.41-3.50
Ag  0.5000  0.5000  0.1577  8 Ac 3.41-3.50
Sn  0.5000  0.5000  0.5000  8 Ac 3.50



First-principles (PBE-GGA) data for a geometry-optimized Mg5Tl structure, as listed in the Alexandria database.

## Properties
Space group   No. 38
Energy of formation   -0.11 eV/f.u.
E_tot   -1.742 eV per atom
Offset from the most stable computed form   0 meV/atom
Volume   23.5 Å³/atom
D(E_F)   1.5 states/eV per cell
Size of the total moment   0.0 μB/f.u.

Cell lengths 8.1662, 8.1662, 5.2402 Å; angles 90.00, 90.00, 156.25 degrees
Last column: nearest neighbours and their distance in Å.
Fractional coordinates of all 6 atoms:
Mg  0.9958  0.0042  0.0000  10 Mg 3.13-3.36, 2 Tl 3.23
Mg  0.3303  0.6697  0.0000  12 Mg 3.13-3.36
Mg  0.6628  0.3372  0.0000  8 Mg 3.15-3.36, 4 Tl 3.21
Mg  0.4486  0.5514  0.5000  2 Tl 3.14, 10 Mg 3.16-3.36
Mg  0.7814  0.2186  0.5000  2 Tl 3.15, 10 Mg 3.16-3.36
Tl  0.1145  0.8855  0.5000  10 Mg 3.14-3.23, 2 Tl 3.36



First-principles (PBE-GGA) data for a geometry-optimized InRhCl2 structure, as listed in the Alexandria database.

## Properties
Space group   No. 99
E_tot   -3.641 eV per atom
Offset from the most stable computed form   248 meV/atom
Volume   21.7 Å³/atom
D(E_F)   4.1 states/eV per cell
Size of the total moment   0.6 μB/f.u.

Cell lengths 3.2443, 3.2443, 8.2468 Å; angles 90.00, 90.00, 90.00 degrees
Last column: nearest neighbours and their distance in Å.
Fractional coordinates of all 4 atoms:
Cl  0.0000  0.0000  0.9149  4 Rh 2.75
Cl  0.5000  0.5000  0.3194  4 In 2.90, 4 Cl 3.24
Rh  0.5000  0.5000  0.7305  4 Cl 2.75, 4 In 2.80
In  0.0000  0.0000  0.5352  4 Rh 2.80, 5 Cl 2.90-3.13



First-principles (PBE-GGA) data for a geometry-optimized Ce4SnH structure, as listed in the Alexandria database.

## Properties
Space group   No. 15
E_tot   -5.406 eV per atom
Volume   24.0 Å³/atom
D(E_F)   33.8 states/eV per cell
Size of the total moment   2.4 μB/f.u.

Cell lengths 5.8824, 6.0121, 9.7979 Å; angles 117.87, 107.49, 89.95 degrees
Last column: nearest neighbours and their distance in Å.
Fractional coordinates of all 12 atoms:
Ce  0.6251  0.1085  0.8192  1 H 2.73, 1 Ce 2.95
Ce  0.8058  0.3912  0.1808  1 H 2.73, 1 Ce 2.95
Ce  0.3749  0.8915  0.1808  1 H 2.73, 1 Ce 2.95
Ce  0.1942  0.6088  0.8192  1 H 2.73, 1 Ce 2.95
Ce  0.9264  0.9160  0.5907  2 H 2.32-2.53
Ce  0.3357  0.5841  0.4094  2 H 2.32-2.53
Ce  0.0736  0.0840  0.4093  2 H 2.32-2.53
Ce  0.6643  0.4159  0.5906  2 H 2.32-2.53
Sn  0.7794  0.7499  0.0000  10 Ce 3.26-3.39
Sn  0.2206  0.2501  0.0000  10 Ce 3.26-3.39
H  0.5000  0.0000  0.5000  4 Ce 2.32-2.53
H  0.0000  0.5000  0.5000  4 Ce 2.32-2.53



First-principles (PBE-GGA) data for a geometry-optimized AsPt2Au structure, as listed in the Alexandria database.

## Properties
Space group   No. 44
Energy of formation   -0.09 eV/f.u.
E_tot   -5.024 eV per atom
Volume   17.4 Å³/atom
D(E_F)   1.2 states/eV per cell
Size of the total moment   0.0 μB/f.u.

Cell lengths 5.7040, 5.7040, 5.7040 Å; angles 144.64, 139.18, 55.09 degrees
Last column: nearest neighbours and their distance in Å.
Fractional coordinates of all 4 atoms:
As  0.5260  0.5260  0.0000  6 Pt 2.47-2.67
Au  0.2886  0.7886  0.5000  6 Pt 2.78-2.81, 2 As 2.96
Pt  0.9847  0.9847  0.0000  4 As 2.67, 2 Au 2.81, 2 Pt 2.95
Pt  0.7007  0.2007  0.5000  2 As 2.47



First-principles (PBE-GGA) data for a geometry-optimized Be16BMo2 structure, as listed in the Alexandria database.

## Properties
Space group   No. 160
Energy of formation   -1.91 eV/f.u.
E_tot   -4.730 eV per atom
Volume   8.4 Å³/atom
D(E_F)   6.2 states/eV per cell
Size of the total moment   0.0 μB/f.u.

Cell lengths 5.4630, 5.4630, 5.4630 Å; angles 83.20, 83.20, 83.20 degrees
Last column: nearest neighbours and their distance in Å.
Fractional coordinates of all 19 atoms:
Be  0.6973  0.0014  0.3039  8 Be 2.08-2.21
Be  0.0014  0.3039  0.6973  8 Be 2.08-2.21
Be  0.3039  0.6973  0.0014  8 Be 2.08-2.21
Be  0.0014  0.6973  0.3039  8 Be 2.08-2.21
Be  0.6973  0.3039  0.0014  8 Be 2.08-2.21
Be  0.3039  0.0014  0.6973  8 Be 2.08-2.21
Be  0.3488  0.8388  0.3488  8 Be 2.07-2.18
Be  0.8388  0.3488  0.3488  8 Be 2.07-2.18
Be  0.3488  0.3488  0.8388  8 Be 2.07-2.18
Be  0.6531  0.1610  0.6531  8 Be 2.07-2.19, 1 B 2.26
Be  0.1610  0.6531  0.6531  8 Be 2.07-2.19, 1 B 2.26
Be  0.6531  0.6531  0.1610  8 Be 2.07-2.19, 1 B 2.26
Be  0.9984  0.5048  0.9984  9 Be 2.08-2.28, 1 B 2.17
Be  0.5048  0.9984  0.9984  9 Be 2.08-2.28, 1 B 2.17
Be  0.9984  0.9984  0.5048  9 Be 2.08-2.28, 1 B 2.17
Be  0.0888  0.0888  0.0888  1 B 2.04, 3 Be 2.28
B  0.8951  0.8951  0.8951  7 Be 2.04-2.26
Mo  0.6677  0.6677  0.6677  1 B 2.39, 12 Be 2.54-2.68
Mo  0.3380  0.3380  0.3380  19 Be 2.53-2.78



First-principles (PBE-GGA) data for a geometry-optimized Mg2PdRuCl structure, as listed in the Alexandria database.

## Properties
Space group   No. 123
E_tot   -3.388 eV per atom
Volume   19.6 Å³/atom
D(E_F)   3.4 states/eV per cell
Size of the total moment   1.1 μB/f.u.

Cell lengths 4.6721, 4.4988, 4.6721 Å; angles 90.00, 90.00, 90.00 degrees
Last column: nearest neighbours and their distance in Å.
Fractional coordinates of all 5 atoms:
Ru  0.5000  0.5000  0.5000  8 Mg 3.24, 4 Pd 3.30
Mg  0.0000  0.0000  0.5000  2 Cl 2.34
Mg  0.5000  0.0000  0.0000  2 Cl 2.34
Pd  0.0000  0.5000  0.0000  2 Cl 2.25
Cl  0.0000  0.0000  0.0000  2 Pd 2.25, 4 Mg 2.34